1.
# Mg2Sc2TlCdAu2 (PBE, optimized geometry)
# - Uncorrected energy: -3.678 eV per atom
# - Size of the total moment: 0.000 μB/atom
data_Mg2Sc2TlCdAu2
_chemical_formula_sum 'Mg2 Sc2 Tl1 Cd1 Au2'
_space_group_name_H-M_alt 'P -4 m 2'
_space_group_IT_number 115
_cell_length_a 4.866
_cell_length_b 4.866
_cell_length_c 6.829
_cell_angle_alpha 90.00
_cell_angle_beta 90.00
_cell_angle_gamma 90.00
loop_
_space_group_symop_operation_xyz
'x,y,z'
'y,-x,-z'
'-x,-y,z'
'-y,x,-z'
'-x,y,z'
'-y,-x,-z'
'x,-y,z'
'y,x,-z'
loop_
_atom_site_label
_atom_site_fract_x
_atom_site_fract_y
_atom_site_fract_z
_atom_site_occupancy
Mg1 0.000 0.500 0.243 1
Sc1 0.000 0.500 0.752 1
Tl1 0.000 0.000 0.500 1
Cd1 0.500 0.500 0.000 1
Au1 0.000 0.000 0.000 1
Au2 0.500 0.500 0.500 1


2.
# Mg2Sc2ZnCdAu2 (PBE, optimized geometry)
# - Uncorrected energy: -3.585 eV per atom
# - Size of the total moment: 0.000 μB/atom
data_Mg2Sc2ZnCdAu2
_chemical_formula_sum 'Mg2 Sc2 Zn1 Cd1 Au2'
_space_group_name_H-M_alt 'P -4 m 2'
_space_group_IT_number 115
_cell_length_a 4.754
_cell_length_b 4.754
_cell_length_c 6.711
_cell_angle_alpha 90.00
_cell_angle_beta 90.00
_cell_angle_gamma 90.00
loop_
_space_group_symop_operation_xyz
'x,y,z'
'y,-x,-z'
'-x,-y,z'
'-y,x,-z'
'-x,y,z'
'-y,-x,-z'
'x,-y,z'
'y,x,-z'
loop_
_atom_site_label
_atom_site_fract_x
_atom_site_fract_y
_atom_site_fract_z
_atom_site_occupancy
Mg1 0.000 0.500 0.244 1
Sc1 0.000 0.500 0.760 1
Zn1 0.500 0.500 0.000 1
Cd1 0.000 0.000 0.500 1
Au1 0.000 0.000 0.000 1
Au2 0.500 0.500 0.500 1


3.
# YMgCdAu (PBE, optimized geometry)
# - Uncorrected energy: -3.491 eV per atom
# - Size of the total moment: 0.000 μB/atom
data_YMgCdAu
_chemical_formula_sum 'Y2 Mg2 Cd2 Au2'
_space_group_name_H-M_alt 'I m m 2'
_space_group_IT_number 44
_cell_length_a 4.942
_cell_length_b 4.947
_cell_length_c 6.985
_cell_angle_alpha 90.00
_cell_angle_beta 90.00
_cell_angle_gamma 90.00
loop_
_space_group_symop_operation_xyz
'x,y,z'
'-x,-y,z'
'-x,y,z'
'x,-y,z'
'x+1/2,y+1/2,z+1/2'
'-x+1/2,-y+1/2,z+1/2'
'-x+1/2,y+1/2,z+1/2'
'x+1/2,-y+1/2,z+1/2'
loop_
_atom_site_label
_atom_site_fract_x
_atom_site_fract_y
_atom_site_fract_z
_atom_site_occupancy
Y1 0.000 0.000 0.000 1
Mg1 0.000 0.500 0.751 1
Cd1 0.000 0.000 0.500 1
Au1 0.000 0.500 0.250 1


4.
# YMgCdAu (PBE, optimized geometry)
# - Uncorrected energy: -3.491 eV per atom
# - Size of the total moment: 0.000 μB/atom
data_YMgCdAu
_chemical_formula_sum 'Y2 Mg2 Cd2 Au2'
_space_group_name_H-M_alt 'I m m 2'
_space_group_IT_number 44
_cell_length_a 4.942
_cell_length_b 4.947
_cell_length_c 6.985
_cell_angle_alpha 90.00
_cell_angle_beta 90.00
_cell_angle_gamma 90.00
loop_
_space_group_symop_operation_xyz
'x,y,z'
'-x,-y,z'
'-x,y,z'
'x,-y,z'
'x+1/2,y+1/2,z+1/2'
'-x+1/2,-y+1/2,z+1/2'
'-x+1/2,y+1/2,z+1/2'
'x+1/2,-y+1/2,z+1/2'
loop_
_atom_site_label
_atom_site_fract_x
_atom_site_fract_y
_atom_site_fract_z
_atom_site_occupancy
Y1 0.000 0.000 0.000 1
Mg1 0.000 0.500 0.751 1
Cd1 0.000 0.000 0.500 1
Au1 0.000 0.500 0.250 1


5.
# CdMo4AuN2 (PBE, optimized geometry)
# - Uncorrected energy: -7.989 eV per atom
# - Size of the total moment: 0.002 μB/atom
data_CdMo4AuN2
_chemical_formula_sum 'Cd1 Mo4 Au1 N2'
_space_group_name_H-M_alt 'P -6 m 2'
_space_group_IT_number 187
_space_group_name_Hall 'P -6 2'
_cell_length_a 2.8762
_cell_length_b 2.8762
_cell_length_c 15.3617
_cell_angle_alpha 90.00
_cell_angle_beta 90.00
_cell_angle_gamma 120.00
loop_
_atom_site_label
_atom_site_fract_x
_atom_site_fract_y
_atom_site_fract_z
_atom_site_occupancy
Cd1 0.0000 0.0000 0.0000 1
Mo1 0.0000 0.0000 0.3415 1
Mo2 0.6667 0.3333 0.1625 1
Au1 0.6667 0.3333 0.5000 1
N1 0.3333 0.6667 0.2519 1


6.
# CdAuNO (PBE, optimized geometry)
# - Uncorrected energy: -3.876 eV per atom
# - ΔE to the lowest computed polymorph: 80 meV/atom
data_CdAuNO
_chemical_formula_sum 'Cd2 Au2 N2 O2'
_space_group_name_H-M_alt 'P 4/n m m'
_space_group_IT_number 129
_cell_length_a 4.207
_cell_length_b 4.207
_cell_length_c 6.727
_cell_angle_alpha 90.00
_cell_angle_beta 90.00
_cell_angle_gamma 90.00
loop_
_space_group_symop_operation_xyz
'x,y,z'
'-x,-y,-z'
'-y+1/2,x,z'
'y+1/2,-x,-z'
'-x+1/2,-y+1/2,z'
'x+1/2,y+1/2,-z'
'y,-x+1/2,z'
'-y,x+1/2,-z'
'x+1/2,-y,-z'
'-x+1/2,y,z'
'-y,-x,-z'
'y,x,z'
'-x,y+1/2,-z'
'x,-y+1/2,z'
'y+1/2,x+1/2,-z'
'-y+1/2,-x+1/2,z'
loop_
_atom_site_label
_atom_site_fract_x
_atom_site_fract_y
_atom_site_fract_z
_atom_site_occupancy
Cd1 0.250 0.250 0.098 1
Au1 0.250 0.750 0.500 1
N1 0.250 0.250 0.571 1
O1 0.250 0.750 0.000 1


7.
# CdAuNO (PBE, optimized geometry)
# - Uncorrected energy: -3.786 eV per atom
# - ΔE to the lowest computed polymorph: 170 meV/atom
data_CdAuNO
_chemical_formula_sum 'Cd2 Au2 N2 O2'
_space_group_name_H-M_alt 'P 4/n m m'
_space_group_IT_number 129
_cell_length_a 4.636
_cell_length_b 4.636
_cell_length_c 4.793
_cell_angle_alpha 90.00
_cell_angle_beta 90.00
_cell_angle_gamma 90.00
loop_
_space_group_symop_operation_xyz
'x,y,z'
'-x,-y,-z'
'-y+1/2,x,z'
'y+1/2,-x,-z'
'-x+1/2,-y+1/2,z'
'x+1/2,y+1/2,-z'
'y,-x+1/2,z'
'-y,x+1/2,-z'
'x+1/2,-y,-z'
'-x+1/2,y,z'
'-y,-x,-z'
'y,x,z'
'-x,y+1/2,-z'
'x,-y+1/2,z'
'y+1/2,x+1/2,-z'
'-y+1/2,-x+1/2,z'
loop_
_atom_site_label
_atom_site_fract_x
_atom_site_fract_y
_atom_site_fract_z
_atom_site_occupancy
Cd1 0.250 0.750 0.000 1
Au1 0.250 0.250 0.496 1
N1 0.250 0.250 0.991 1
O1 0.250 0.750 0.500 1


8.
# CdAuNO (PBE, optimized geometry)
# - Uncorrected energy: -3.856 eV per atom
# - ΔE to the lowest computed polymorph: 100 meV/atom
data_CdAuNO
_chemical_formula_sum 'Cd2 Au2 N2 O2'
_space_group_name_H-M_alt 'P m c 21'
_space_group_IT_number 26
_cell_length_a 3.901
_cell_length_b 5.752
_cell_length_c 5.405
_cell_angle_alpha 90.00
_cell_angle_beta 90.00
_cell_angle_gamma 90.00
loop_
_space_group_symop_operation_xyz
'x,y,z'
'-x,-y,z+1/2'
'-x,y,z'
'x,-y,z+1/2'
loop_
_atom_site_label
_atom_site_fract_x
_atom_site_fract_y
_atom_site_fract_z
_atom_site_occupancy
Cd1 0.000 0.141 0.000 1
Au1 0.500 0.413 0.514 1
N1 0.500 0.257 0.848 1
O1 0.000 0.244 0.412 1